# 1
# Tl12As3S5 (GGA-PBE, optimized geometry)
# - Crystal system: cubic
# - Energy relative to the elements, uncorrected: -4.8 kJ/mol of atoms
data_Tl12As3S5
_chemical_formula_sum 'Tl48 As12 S20'
_space_group_name_H-M_alt 'P 1'
_space_group_IT_number 1
_cell_length_a 15.0709
_cell_length_b 15.0709
_cell_length_c 15.0709
_cell_angle_alpha 109.47
_cell_angle_beta 109.47
_cell_angle_gamma 109.47
loop_
_space_group_symop_operation_xyz
'x,y,z'
loop_
_atom_site_label
_atom_site_fract_x
_atom_site_fract_y
_atom_site_fract_z
_atom_site_occupancy
Tl1 0.0521 0.2235 0.1398 1
Tl2 0.0521 0.3287 0.9124 1
Tl3 0.0837 0.7235 0.6713 1
Tl4 0.0837 0.8602 0.4124 1
Tl5 0.0876 0.6398 0.4163 1
Tl6 0.0876 0.9479 0.6713 1
Tl7 0.1398 0.0521 0.2235 1
Tl8 0.1398 0.5876 0.9163 1
Tl9 0.1713 0.2235 0.5837 1
Tl10 0.1713 0.4479 0.5876 1
Tl11 0.2235 0.1398 0.0521 1
Tl12 0.2235 0.5837 0.1713 1
Tl13 0.2765 0.3287 0.9163 1
Tl14 0.2765 0.4479 0.3602 1
Tl15 0.3287 0.9124 0.0521 1
Tl16 0.3287 0.9163 0.2765 1
Tl17 0.3602 0.2765 0.4479 1
Tl18 0.3602 0.5837 0.9124 1
Tl19 0.4124 0.0837 0.8602 1
Tl20 0.4124 0.8287 0.5521 1
Tl21 0.4163 0.0876 0.6398 1
Tl22 0.4163 0.8287 0.7765 1
Tl23 0.4479 0.3602 0.2765 1
Tl24 0.4479 0.5876 0.1713 1
Tl25 0.5521 0.4124 0.8287 1
Tl26 0.5521 0.6398 0.7235 1
Tl27 0.5837 0.1713 0.2235 1
Tl28 0.5837 0.9124 0.3602 1
Tl29 0.5876 0.1713 0.4479 1
Tl30 0.5876 0.9163 0.1398 1
Tl31 0.6398 0.4163 0.0876 1
Tl32 0.6398 0.7235 0.5521 1
Tl33 0.6713 0.0837 0.7235 1
Tl34 0.6713 0.0876 0.9479 1
Tl35 0.7235 0.5521 0.6398 1
Tl36 0.7235 0.6713 0.0837 1
Tl37 0.7765 0.4163 0.8287 1
Tl38 0.7765 0.8602 0.9479 1
Tl39 0.8287 0.5521 0.4124 1
Tl40 0.8287 0.7765 0.4163 1
Tl41 0.8602 0.4124 0.0837 1
Tl42 0.8602 0.9479 0.7765 1
Tl43 0.9124 0.0521 0.3287 1
Tl44 0.9124 0.3602 0.5837 1
Tl45 0.9163 0.1398 0.5876 1
Tl46 0.9163 0.2765 0.3287 1
Tl47 0.9479 0.6713 0.0876 1
Tl48 0.9479 0.7765 0.8602 1
As1 0.1250 0.2500 0.3750 1
As2 0.1250 0.3750 0.7500 1
As3 0.2500 0.3750 0.1250 1
As4 0.2500 0.8750 0.6250 1
As5 0.3750 0.1250 0.2500 1
As6 0.3750 0.7500 0.1250 1
As7 0.6250 0.2500 0.8750 1
As8 0.6250 0.8750 0.7500 1
As9 0.7500 0.1250 0.3750 1
As10 0.7500 0.6250 0.8750 1
As11 0.8750 0.6250 0.2500 1
As12 0.8750 0.7500 0.6250 1
S1 0.0000 0.0000 0.0000 1
S2 0.0000 0.0000 0.5000 1
S3 0.0000 0.5000 0.0000 1
S4 0.0000 0.5000 0.5000 1
S5 0.1250 0.7500 0.8750 1
S6 0.1250 0.8750 0.2500 1
S7 0.2500 0.1250 0.8750 1
S8 0.2500 0.6250 0.3750 1
S9 0.3750 0.2500 0.6250 1
S10 0.3750 0.6250 0.7500 1
S11 0.5000 0.0000 0.0000 1
S12 0.5000 0.0000 0.5000 1
S13 0.5000 0.5000 0.0000 1
S14 0.5000 0.5000 0.5000 1
S15 0.6250 0.3750 0.2500 1
S16 0.6250 0.7500 0.3750 1
S17 0.7500 0.3750 0.6250 1
S18 0.7500 0.8750 0.1250 1
S19 0.8750 0.1250 0.7500 1
S20 0.8750 0.2500 0.1250 1

=====

# 2
# Tl5AsS5 (GGA-PBE, optimized geometry)
# - Crystal system: monoclinic
# - Energy relative to the elements, uncorrected: -13.5 kJ/mol of atoms
data_Tl5AsS5
_chemical_formula_sum 'Tl5 As1 S5'
_space_group_name_H-M_alt 'P 1'
_space_group_IT_number 1
_cell_length_a 6.8898
_cell_length_b 6.8898
_cell_length_c 8.5423
_cell_angle_alpha 101.52
_cell_angle_beta 101.52
_cell_angle_gamma 51.24
loop_
_space_group_symop_operation_xyz
'x,y,z'
loop_
_atom_site_label
_atom_site_fract_x
_atom_site_fract_y
_atom_site_fract_z
_atom_site_occupancy
Tl1 0.0000 0.0000 0.0000 1
Tl2 0.3183 0.3183 0.6256 1
Tl3 0.3430 0.3430 0.1571 1
Tl4 0.6570 0.6570 0.8429 1
Tl5 0.6817 0.6817 0.3744 1
As1 0.0000 0.0000 0.5000 1
S1 0.1473 0.1473 0.7665 1
S2 0.1524 0.1524 0.3378 1
S3 0.5000 0.5000 0.5000 1
S4 0.8476 0.8476 0.6622 1
S5 0.8527 0.8527 0.2335 1

=====

# 3
# Tl12As5S3 (GGA-PBE, optimized geometry)
# - Crystal system: cubic
# - Energy relative to the elements, uncorrected: 10.1 kJ/mol of atoms
data_Tl12As5S3
_chemical_formula_sum 'Tl48 As20 S12'
_space_group_name_H-M_alt 'P 1'
_space_group_IT_number 1
_cell_length_a 15.0663
_cell_length_b 15.0663
_cell_length_c 15.0663
_cell_angle_alpha 109.47
_cell_angle_beta 109.47
_cell_angle_gamma 109.47
loop_
_space_group_symop_operation_xyz
'x,y,z'
loop_
_atom_site_label
_atom_site_fract_x
_atom_site_fract_y
_atom_site_fract_z
_atom_site_occupancy
Tl1 0.0540 0.2217 0.1450 1
Tl2 0.0540 0.3323 0.9090 1
Tl3 0.0767 0.7217 0.6677 1
Tl4 0.0767 0.8550 0.4090 1
Tl5 0.0910 0.6450 0.4233 1
Tl6 0.0910 0.9460 0.6677 1
Tl7 0.1450 0.0540 0.2217 1
Tl8 0.1450 0.5910 0.9233 1
Tl9 0.1677 0.2217 0.5767 1
Tl10 0.1677 0.4460 0.5910 1
Tl11 0.2217 0.1450 0.0540 1
Tl12 0.2217 0.5767 0.1677 1
Tl13 0.2783 0.3323 0.9233 1
Tl14 0.2783 0.4460 0.3550 1
Tl15 0.3323 0.9090 0.0540 1
Tl16 0.3323 0.9233 0.2783 1
Tl17 0.3550 0.2783 0.4460 1
Tl18 0.3550 0.5767 0.9090 1
Tl19 0.4090 0.0767 0.8550 1
Tl20 0.4090 0.8323 0.5540 1
Tl21 0.4233 0.0910 0.6450 1
Tl22 0.4233 0.8323 0.7783 1
Tl23 0.4460 0.3550 0.2783 1
Tl24 0.4460 0.5910 0.1677 1
Tl25 0.5540 0.4090 0.8323 1
Tl26 0.5540 0.6450 0.7217 1
Tl27 0.5767 0.1677 0.2217 1
Tl28 0.5767 0.9090 0.3550 1
Tl29 0.5910 0.1677 0.4460 1
Tl30 0.5910 0.9233 0.1450 1
Tl31 0.6450 0.4233 0.0910 1
Tl32 0.6450 0.7217 0.5540 1
Tl33 0.6677 0.0767 0.7217 1
Tl34 0.6677 0.0910 0.9460 1
Tl35 0.7217 0.5540 0.6450 1
Tl36 0.7217 0.6677 0.0767 1
Tl37 0.7783 0.4233 0.8323 1
Tl38 0.7783 0.8550 0.9460 1
Tl39 0.8323 0.5540 0.4090 1
Tl40 0.8323 0.7783 0.4233 1
Tl41 0.8550 0.4090 0.0767 1
Tl42 0.8550 0.9460 0.7783 1
Tl43 0.9090 0.0540 0.3323 1
Tl44 0.9090 0.3550 0.5767 1
Tl45 0.9233 0.1450 0.5910 1
Tl46 0.9233 0.2783 0.3323 1
Tl47 0.9460 0.6677 0.0910 1
Tl48 0.9460 0.7783 0.8550 1
As1 0.0000 0.0000 0.0000 1
As2 0.0000 0.0000 0.5000 1
As3 0.0000 0.5000 0.0000 1
As4 0.0000 0.5000 0.5000 1
As5 0.1250 0.7500 0.8750 1
As6 0.1250 0.8750 0.2500 1
As7 0.2500 0.1250 0.8750 1
As8 0.2500 0.6250 0.3750 1
As9 0.3750 0.2500 0.6250 1
As10 0.3750 0.6250 0.7500 1
As11 0.5000 0.0000 0.0000 1
As12 0.5000 0.0000 0.5000 1
As13 0.5000 0.5000 0.0000 1
As14 0.5000 0.5000 0.5000 1
As15 0.6250 0.3750 0.2500 1
As16 0.6250 0.7500 0.3750 1
As17 0.7500 0.3750 0.6250 1
As18 0.7500 0.8750 0.1250 1
As19 0.8750 0.1250 0.7500 1
As20 0.8750 0.2500 0.1250 1
S1 0.1250 0.2500 0.3750 1
S2 0.1250 0.3750 0.7500 1
S3 0.2500 0.3750 0.1250 1
S4 0.2500 0.8750 0.6250 1
S5 0.3750 0.1250 0.2500 1
S6 0.3750 0.7500 0.1250 1
S7 0.6250 0.2500 0.8750 1
S8 0.6250 0.8750 0.7500 1
S9 0.7500 0.1250 0.3750 1
S10 0.7500 0.6250 0.8750 1
S11 0.8750 0.6250 0.2500 1
S12 0.8750 0.7500 0.6250 1

=====

# 4
# TlAsS (GGA-PBE, optimized geometry)
# - Energy above the lowest structure with this stoichiometry: 219 meV per atom
# - Crystal system: triclinic
# - Energy relative to the elements, uncorrected: 0.2 kJ/mol of atoms
data_TlAsS
_chemical_formula_sum 'Tl1 As1 S1'
_space_group_name_H-M_alt 'P 1'
_space_group_IT_number 1
_cell_length_a 3.5209
_cell_length_b 3.9772
_cell_length_c 6.0363
_cell_angle_alpha 72.02
_cell_angle_beta 87.48
_cell_angle_gamma 89.99
loop_
_space_group_symop_operation_xyz
'x,y,z'
loop_
_atom_site_label
_atom_site_fract_x
_atom_site_fract_y
_atom_site_fract_z
_atom_site_occupancy
Tl1 0.0000 0.0000 0.0000 1
As1 0.5513 0.6044 0.5537 1
S1 0.0598 0.2781 0.4515 1

=====

# 5
# Tl3As2S4 (GGA-PBE, optimized geometry)
# - Energy above the lowest structure with this stoichiometry: 0 meV per atom
# - Crystal system: monoclinic
# - Energy relative to the elements, uncorrected: -20.2 kJ/mol of atoms
data_Tl3As2S4
_chemical_formula_sum 'Tl6 As4 S8'
_space_group_name_H-M_alt 'P 1'
_space_group_IT_number 1
_cell_length_a 8.5259
_cell_length_b 8.5259
_cell_length_c 9.4514
_cell_angle_alpha 91.55
_cell_angle_beta 91.55
_cell_angle_gamma 59.94
loop_
_space_group_symop_operation_xyz
'x,y,z'
loop_
_atom_site_label
_atom_site_fract_x
_atom_site_fract_y
_atom_site_fract_z
_atom_site_occupancy
Tl1 0.0134 0.9866 0.7500 1
Tl2 0.3276 0.4419 0.2870 1
Tl3 0.4419 0.3276 0.7870 1
Tl4 0.5581 0.6724 0.2130 1
Tl5 0.6724 0.5581 0.7130 1
Tl6 0.9866 0.0134 0.2500 1
As1 0.0551 0.3277 0.9759 1
As2 0.3277 0.0551 0.4759 1
As3 0.6723 0.9449 0.5241 1
As4 0.9449 0.6723 0.0241 1
S1 0.0846 0.3268 0.7419 1
S2 0.1979 0.6830 0.0020 1
S3 0.3170 0.8021 0.4980 1
S4 0.3268 0.0846 0.2419 1
S5 0.6732 0.9154 0.7581 1
S6 0.6830 0.1979 0.5020 1
S7 0.8021 0.3170 0.9980 1
S8 0.9154 0.6732 0.2581 1

=====

# 6
# Tl2AsS (GGA-PBE, optimized geometry)
# - Energy above the lowest structure with this stoichiometry: 207 meV per atom
# - Crystal system: cubic
# - Energy relative to the elements, uncorrected: 21.2 kJ/mol of atoms
data_Tl2AsS
_chemical_formula_sum 'Tl8 As4 S4'
_space_group_name_H-M_alt 'P 1'
_space_group_IT_number 1
_cell_length_a 7.3008
_cell_length_b 7.3008
_cell_length_c 7.3008
_cell_angle_alpha 90.00
_cell_angle_beta 90.00
_cell_angle_gamma 90.00
loop_
_space_group_symop_operation_xyz
'x,y,z'
loop_
_atom_site_label
_atom_site_fract_x
_atom_site_fract_y
_atom_site_fract_z
_atom_site_occupancy
Tl1 0.2500 0.2500 0.2500 1
Tl2 0.2500 0.2500 0.7500 1
Tl3 0.2500 0.7500 0.2500 1
Tl4 0.2500 0.7500 0.7500 1
Tl5 0.7500 0.2500 0.2500 1
Tl6 0.7500 0.2500 0.7500 1
Tl7 0.7500 0.7500 0.2500 1
Tl8 0.7500 0.7500 0.7500 1
As1 0.0000 0.0000 0.0000 1
As2 0.0000 0.5000 0.5000 1
As3 0.5000 0.0000 0.5000 1
As4 0.5000 0.5000 0.0000 1
S1 0.0000 0.0000 0.5000 1
S2 0.0000 0.5000 0.0000 1
S3 0.5000 0.0000 0.0000 1
S4 0.5000 0.5000 0.5000 1

=====

Copy entry 5 word for word.
# Tl3As2S4 (GGA-PBE, optimized geometry)
# - Energy above the lowest structure with this stoichiometry: 0 meV per atom
# - Crystal system: monoclinic
# - Energy relative to the elements, uncorrected: -20.2 kJ/mol of atoms
data_Tl3As2S4
_chemical_formula_sum 'Tl6 As4 S8'
_space_group_name_H-M_alt 'P 1'
_space_group_IT_number 1
_cell_length_a 8.5259
_cell_length_b 8.5259
_cell_length_c 9.4514
_cell_angle_alpha 91.55
_cell_angle_beta 91.55
_cell_angle_gamma 59.94
loop_
_space_group_symop_operation_xyz
'x,y,z'
loop_
_atom_site_label
_atom_site_fract_x
_atom_site_fract_y
_atom_site_fract_z
_atom_site_occupancy
Tl1 0.0134 0.9866 0.7500 1
Tl2 0.3276 0.4419 0.2870 1
Tl3 0.4419 0.3276 0.7870 1
Tl4 0.5581 0.6724 0.2130 1
Tl5 0.6724 0.5581 0.7130 1
Tl6 0.9866 0.0134 0.2500 1
As1 0.0551 0.3277 0.9759 1
As2 0.3277 0.0551 0.4759 1
As3 0.6723 0.9449 0.5241 1
As4 0.9449 0.6723 0.0241 1
S1 0.0846 0.3268 0.7419 1
S2 0.1979 0.6830 0.0020 1
S3 0.3170 0.8021 0.4980 1
S4 0.3268 0.0846 0.2419 1
S5 0.6732 0.9154 0.7581 1
S6 0.6830 0.1979 0.5020 1
S7 0.8021 0.3170 0.9980 1
S8 0.9154 0.6732 0.2581 1